Record 1
! RuS3Br GGA-PBE optimized geometry; values from VASP
&SYSTEM
  ibrav = 0, nat = 5, ntyp = 3
/
ATOMIC_SPECIES
Ru 101.07 Ru.upf
S 32.06 S.upf
Br 79.90 Br.upf
CELL_PARAMETERS angstrom
4.6389 0.0000 0.0000
0.0000 4.6389 0.0000
0.0000 0.0000 4.6389
ATOMIC_POSITIONS crystal
Ru 0.0000 0.0000 0.0000
S 0.0000 0.5000 0.0000
S 0.0000 0.0000 0.5000
S 0.5000 0.0000 0.0000
Br 0.5000 0.5000 0.5000
! space group: Pm-3m, No. 221
! E_form (uncorrected): 494 meV/atom
! offset from the most stable computed form: 0.000 eV per atom

***

Record 2
! LiCeDy2Te4 GGA-PBE optimized geometry; values from VASP
&SYSTEM
  ibrav = 0, nat = 8, ntyp = 4
/
ATOMIC_SPECIES
Li 6.94 Li.upf
Ce 140.12 Ce.upf
Dy 162.50 Dy.upf
Te 127.60 Te.upf
CELL_PARAMETERS angstrom
4.3608 0.0000 0.0000
0.0000 7.5965 0.1459
0.0000 -2.6458 7.1510
ATOMIC_POSITIONS crystal
Li 0.0000 0.0000 0.0000
Ce 0.5000 0.5000 0.0000
Dy 0.5000 0.0000 0.5000
Dy 0.0000 0.5000 0.5000
Te 0.5000 0.2415 0.2491
Te 0.5000 0.7585 0.7509
Te 0.0000 0.2393 0.7463
Te 0.0000 0.7607 0.2537
! space group: P2/m, No. 10
! E_form (uncorrected): -1311 meV/atom

***

Record 3
! KTeP GGA-PBE optimized geometry; values from VASP
&SYSTEM
  ibrav = 0, nat = 3, ntyp = 3
/
ATOMIC_SPECIES
K 39.10 K.upf
P 30.97 P.upf
Te 127.60 Te.upf
CELL_PARAMETERS angstrom
-4.7760 -0.8186 1.9842
-0.5955 -0.8205 5.1371
-2.2545 3.6585 2.9916
ATOMIC_POSITIONS crystal
K 0.0000 0.0000 0.0000
P 0.5000 0.5000 0.5000
Te 0.7500 0.7500 0.7500
! space group: F-43m, No. 216
! E_form (uncorrected): 283 meV/atom
! offset from the most stable computed form: 0.738 eV per atom

***

Record 4
! Sr2RhI GGA-PBE optimized geometry; values from VASP
&SYSTEM
  ibrav = 0, nat = 4, ntyp = 3
/
ATOMIC_SPECIES
Sr 87.62 Sr.upf
Rh 102.91 Rh.upf
I 126.90 I.upf
CELL_PARAMETERS angstrom
-3.5641 1.7514 1.8943
-3.7813 -2.2482 0.0738
-0.3125 -3.5243 7.7804
ATOMIC_POSITIONS crystal
Sr 0.0653 0.0653 0.8041
Sr 0.2685 0.2685 0.1945
Rh 0.6664 0.6664 0.0007
I 0.4998 0.4998 0.5007
! space group: R3m, No. 160
! E_form (uncorrected): -718 meV/atom
! offset from the most stable computed form: 0.014 eV per atom

***

Record 5
! Y5PtSe4 GGA-PBE optimized geometry; values from VASP
&SYSTEM
  ibrav = 0, nat = 10, ntyp = 3
/
ATOMIC_SPECIES
Y 88.91 Y.upf
Pt 195.08 Pt.upf
Se 78.96 Se.upf
CELL_PARAMETERS angstrom
4.0389 0.0000 -0.5692
-0.0802 4.0381 -0.5692
0.0467 0.0477 14.9456
ATOMIC_POSITIONS crystal
Y 0.0974 0.0974 0.1949
Y 0.5000 0.5000 0.0000
Y 0.9026 0.9026 0.8051
Y 0.2965 0.2965 0.5929
Y 0.7035 0.7035 0.4071
Pt 0.0000 0.0000 0.0000
Se 0.3958 0.3958 0.7917
Se 0.8026 0.8026 0.6052
Se 0.1974 0.1974 0.3948
Se 0.6042 0.6042 0.2083
! space group: I4/mmm, No. 139
! E_form (uncorrected): -1652 meV/atom

***

Record 6
! LiAgBr2 GGA-PBE optimized geometry; values from VASP
&SYSTEM
  ibrav = 0, nat = 4, ntyp = 3
/
ATOMIC_SPECIES
Br 79.90 Br.upf
Ag 107.87 Ag.upf
Li 6.94 Li.upf
CELL_PARAMETERS angstrom
0.0000 3.5632 3.5632
3.5632 0.0000 3.5632
3.5632 3.5632 0.0000
ATOMIC_POSITIONS crystal
Br 0.2500 0.2500 0.2500
Br 0.7500 0.7500 0.7500
Ag 0.5000 0.5000 0.5000
Li 0.0000 0.0000 0.0000
! space group: Fm-3m, No. 225
! E_form (uncorrected): -683 meV/atom
! offset from the most stable computed form: 0.259 eV per atom

***

Record 7
! CaAs2IrSe GGA-PBE optimized geometry; values from VASP
&SYSTEM
  ibrav = 0, nat = 5, ntyp = 4
/
ATOMIC_SPECIES
As 74.92 As.upf
Ir 192.22 Ir.upf
Ca 40.08 Ca.upf
Se 78.96 Se.upf
CELL_PARAMETERS angstrom
-4.2577 3.0150 0.3552
-3.0311 -4.1876 -0.7880
-0.1671 -0.8337 5.0734
ATOMIC_POSITIONS crystal
As 0.0000 0.5000 0.0000
As 0.5000 0.0000 0.0000
Ir 0.5000 0.5000 0.5000
Ca 0.0000 0.0000 0.0000
Se 0.0000 0.0000 0.5000
! space group: P4/mmm, No. 123
! E_form (uncorrected): 1446 meV/atom
! offset from the most stable computed form: 1.627 eV per atom

***

Record 8
! CaIn2Hg4 GGA-PBE optimized geometry; values from VASP
&SYSTEM
  ibrav = 0, nat = 7, ntyp = 3
/
ATOMIC_SPECIES
Ca 40.08 Ca.upf
In 114.82 In.upf
Hg 200.59 Hg.upf
CELL_PARAMETERS angstrom
-1.3746 5.0113 -6.6817
-4.4715 -0.2283 -4.6128
-3.5984 5.2862 -0.6565
ATOMIC_POSITIONS crystal
Ca 0.0000 0.0000 0.0000
In 0.0000 0.5000 0.5000
In 0.5000 0.5000 0.5000
Hg 0.4997 0.5000 0.0006
Hg 0.9997 0.0006 0.5000
Hg 0.5003 0.9994 0.5000
Hg 0.0003 0.5000 0.9994
! space group: I4/mmm, No. 139
! formation energy from the elements: -0.167 eV/atom
! offset from the most stable computed form: 0.044 eV per atom

***

Record 9
! In2Ga5Pd3 GGA-PBE optimized geometry; values from VASP
&SYSTEM
  ibrav = 0, nat = 20, ntyp = 3
/
ATOMIC_SPECIES
In 114.82 In.upf
Ga 69.72 Ga.upf
Pd 106.42 Pd.upf
CELL_PARAMETERS angstrom
5.5260 -0.2123 -0.7096
-1.1904 8.0246 -1.5648
-0.2299 0.2102 8.2563
ATOMIC_POSITIONS crystal
In 0.9300 0.5914 0.1702
In 0.4300 0.1702 0.5914
In 0.0700 0.4086 0.8298
In 0.5700 0.8298 0.4086
Ga 0.5576 0.2620 0.9467
Ga 0.0576 0.9467 0.2620
Ga 0.4424 0.7380 0.0533
Ga 0.9424 0.0533 0.7380
Ga 0.9470 0.7455 0.8131
Ga 0.0530 0.2545 0.1870
Ga 0.7500 0.5028 0.4972
Ga 0.2500 0.4972 0.5028
Ga 0.5530 0.1870 0.2545
Ga 0.4470 0.8130 0.7455
Pd 0.5750 0.5217 0.8088
Pd 0.0750 0.8088 0.5217
Pd 0.4250 0.4783 0.1912
Pd 0.9250 0.1912 0.4783
Pd 0.2500 0.9989 0.0011
Pd 0.7500 0.0011 0.9989
! space group: C2/c, No. 15
! formation energy from the elements: -0.318 eV/atom

***

Record 10
! Fe2CuCl GGA-PBE optimized geometry; values from VASP
&SYSTEM
  ibrav = 0, nat = 4, ntyp = 3
/
ATOMIC_SPECIES
Fe 55.84 Fe.upf
Cu 63.55 Cu.upf
Cl 35.45 Cl.upf
CELL_PARAMETERS angstrom
-3.3311 -1.2852 -2.5322
0.9075 -3.4406 0.5524
-2.1526 -0.1047 2.8848
ATOMIC_POSITIONS crystal
Fe 0.0000 0.0000 0.0000
Fe 0.0000 0.5000 0.5000
Cu 0.5000 0.0000 0.5000
Cl 0.5000 0.5000 0.0000
! space group: P4/mmm, No. 123
! E_form (uncorrected): 613 meV/atom
! offset from the most stable computed form: 0.440 eV per atom

***

Record 11
! Ta2NiHRh GGA-PBE optimized geometry; values from VASP
&SYSTEM
  ibrav = 0, nat = 5, ntyp = 4
/
ATOMIC_SPECIES
Ni 58.69 Ni.upf
Rh 102.91 Rh.upf
H 1.01 H.upf
Ta 180.95 Ta.upf
CELL_PARAMETERS angstrom
-1.2808 2.3957 -4.0768
-2.2172 -1.8514 -0.3914
-2.9110 2.9290 2.6358
ATOMIC_POSITIONS crystal
Ni 0.0000 0.0000 0.0000
Rh 0.5000 0.5000 0.5000
H 0.0000 0.5000 0.0000
Ta 0.0000 0.0000 0.5000
Ta 0.5000 0.0000 0.0000
! space group: P4/mmm, No. 123
! offset from the most stable computed form: 0.607 eV per atom

***

Record 12
! TbHoZnRh GGA-PBE optimized geometry; values from VASP
&SYSTEM
  ibrav = 0, nat = 4, ntyp = 4
/
ATOMIC_SPECIES
Rh 102.91 Rh.upf
Zn 65.41 Zn.upf
Tb 158.93 Tb.upf
Ho 164.93 Ho.upf
CELL_PARAMETERS angstrom
-1.6278 1.3496 4.4585
2.5981 -1.1622 4.0310
2.3529 3.5294 2.5213
ATOMIC_POSITIONS crystal
Rh 0.5000 0.5000 0.5000
Zn 0.0000 0.0000 0.0000
Tb 0.7500 0.7500 0.7500
Ho 0.2500 0.2500 0.2500
! space group: F-43m, No. 216
! formation energy from the elements: -0.607 eV/atom

***

no.,energy (eV/atom),calculated volume (Å³/atom),magnetization (μB/cell)
1,-4.172,19.96,0.00
2,-5.014,29.82,1.27
3,-2.933,33.84,0.00
4,-3.785,34.20,0.00
5,-6.882,24.40,0.00
6,-2.711,22.62,0.00
7,-3.283,28.13,1.47
8,-1.408,28.31,0.00
9,-3.937,18.23,0.00
10,-5.104,14.19,6.03
11,-7.689,13.99,0.00
12,-5.066,21.24,0.00